{
  "formula": "PmTh6N8",
  "functional": "GGA-PBE",
  "state": "optimized geometry",
  "e_form_raw_ev_per_atom": -1.390,
  "sg": "Fm-3m",
  "lattice_angstrom": [[0.000, 5.138, 5.138], [5.138, 0.000, 5.138], [5.138, 5.138, 0.000]],
  "species": ["Pm", "Th", "Th", "Th", "Th", "Th", "Th", "N", "N", "N", "N", "N", "N", "N", "N"],
  "fractional_positions": [[0.000, 0.000, 0.000], [0.000, 0.000, 0.500], [0.000, 0.500, 0.000], [0.000, 0.500, 0.500], [0.500, 0.000, 0.000], [0.500, 0.000, 0.500], [0.500, 0.500, 0.000], [0.237, 0.237, 0.763], [0.237, 0.763, 0.237], [0.237, 0.763, 0.763], [0.250, 0.250, 0.250], [0.750, 0.750, 0.750], [0.763, 0.237, 0.237], [0.763, 0.237, 0.763], [0.763, 0.763, 0.237]]
}